{"formula": "CsK9Rb4", "functional": "PBE-GGA", "state": "relaxed", "m_tot_mub_per_fu": 0.00, "formation_energy_ev_per_atom": 0.04, "crystal_system": "tetragonal", "cell": [[-7.479, 7.479, 10.855], [7.479, -7.479, 10.855], [7.479, 7.479, -10.855]], "species": ["Cs", "Cs", "K", "K", "K", "K", "K", "K", "K", "K", "K", "K", "K", "K", "K", "K", "K", "K", "K", "K", "Rb", "Rb", "Rb", "Rb", "Rb", "Rb", "Rb", "Rb"], "frac_coords": [[0.250, 0.250, 0.000], [0.750, 0.750, 0.000], [0.000, 0.500, 0.500], [0.059, 0.797, 0.856], [0.065, 0.565, 0.275], [0.203, 0.059, 0.262], [0.210, 0.935, 0.500], [0.290, 0.790, 0.725], [0.297, 0.559, 0.856], [0.435, 0.710, 0.500], [0.441, 0.297, 0.738], [0.500, 0.000, 0.500], [0.559, 0.703, 0.262], [0.565, 0.290, 0.500], [0.703, 0.441, 0.144], [0.710, 0.210, 0.275], [0.790, 0.065, 0.500], [0.797, 0.941, 0.738], [0.935, 0.435, 0.725], [0.941, 0.203, 0.144], [0.059, 0.189, 0.500], [0.189, 0.689, 0.131], [0.311, 0.441, 0.500], [0.441, 0.941, 0.131], [0.559, 0.059, 0.869], [0.689, 0.559, 0.500], [0.811, 0.311, 0.869], [0.941, 0.811, 0.500]]}